No. 1
Computed, not measured: crystalline TaNi2Ag at its relaxed geometry at the GGA-PBEsol level of DFT.

Cell lengths 5.9905, 5.9905, 5.9905 Å; angles 90.00, 90.00, 90.00 degrees
Space group Fm-3m (No. 225)
One atom of each set of equivalent atoms:
1 Ta 0.0000 0.0000 0.0000 x4
2 Ni 0.2500 0.2500 0.2500 x8
3 Ag 0.0000 0.0000 0.5000 x4

- energy of formation from the pure elements (meV per atom) = -24
- polymorph energy (0 for the lowest one) (eV per atom) = 0.000



No. 2
Computed, not measured: crystalline CsZrCd2Re at its relaxed geometry at the GGA-PBEsol level of DFT.

Cell lengths 5.4854, 5.4854, 4.8150 Å; angles 90.00, 90.00, 90.00 degrees
Space group P4/mmm (No. 123)
One atom of each set of equivalent atoms:
1 Cs 0.0000 0.0000 0.0000 x1
2 Zr 0.5000 0.5000 0.0000 x1
3 Cd 0.0000 0.5000 0.5000 x2
4 Re 0.5000 0.5000 0.5000 x1

- energy of formation from the pure elements (meV per atom) = 623



No. 3
Computed, not measured: crystalline CsLiP2O at its relaxed geometry at the GGA-PBEsol level of DFT.

Cell lengths 5.6546, 5.6546, 4.3990 Å; angles 90.00, 90.00, 90.00 degrees
Space group P4/mmm (No. 123)
One atom of each set of equivalent atoms:
1 Cs 0.0000 0.0000 0.0000 x1
2 Li 0.5000 0.5000 0.5000 x1
3 P 0.0000 0.5000 0.0000 x2
4 O 0.0000 0.0000 0.5000 x1

- calculated total energy (eV/cell) = -13.58



No. 4
Computed, not measured: crystalline CaCrSi4O10 at its relaxed geometry at the GGA-PBEsol level of DFT.

Cell lengths 7.3723, 7.3723, 15.2034 Å; angles 90.00, 90.00, 90.00 degrees
Space group P4/ncc (No. 130, origin choice 2)
One atom of each set of equivalent atoms:
1 Ca 0.2500 0.7500 0.0000 x4
2 Cr 0.2500 0.2500 0.0795 x4
3 Si 0.0014 0.0764 0.3530 x16
4 O 0.0022 0.1486 0.0809 x16
5 O 0.0021 0.7047 0.6261 x16
6 O 0.0422 0.5422 0.2500 x8

- calculated total energy (eV/cell) = -523.54



No. 5
Computed, not measured: crystalline Ni2TeAs at its relaxed geometry at the GGA-PBEsol level of DFT.

Cell lengths 3.6910, 3.6910, 9.0248 Å; angles 90.00, 90.00, 90.00 degrees
Space group I-4m2 (No. 119)
One atom of each set of equivalent atoms:
1 Ni 0.0000 0.0000 0.0000 x2
2 Ni 0.0000 0.5000 0.2500 x2
3 Te 0.0000 0.0000 0.5000 x2
4 As 0.0000 0.5000 0.7500 x2

- calculated total energy (eV/cell) = -40.26



No. 6
Computed, not measured: crystalline Nb3CrNi at its relaxed geometry at the GGA-PBEsol level of DFT.

Cell lengths 4.5674, 4.5674, 4.5674 Å; angles 90.00, 90.00, 90.00 degrees
Space group Pm-3m (No. 221)
One atom of each set of equivalent atoms:
1 Nb 0.0000 0.0000 0.5000 x3
2 Cr 0.5000 0.5000 0.5000 x1
3 Ni 0.0000 0.0000 0.0000 x1

- energy of formation from the pure elements (meV per atom) = 1133



No. 7
Computed, not measured: crystalline BeMoSe at its relaxed geometry at the GGA-PBEsol level of DFT.

Cell lengths 3.3430, 4.4819, 11.7254 Å; angles 90.00, 90.00, 90.00 degrees
Space group Fmm2 (No. 42)
One atom of each set of equivalent atoms:
1 Be 0.0000 0.0000 0.0000 x4
2 Mo 0.0000 0.0000 0.6448 x4
3 Se 0.0000 0.0000 0.3190 x4

- polymorph energy (0 for the lowest one) (eV per atom) = 0.035



No. 8
Computed, not measured: crystalline Ca2MgHg at its relaxed geometry at the GGA-PBEsol level of DFT.

Cell lengths 3.7939, 3.7939, 7.7293 Å; angles 90.00, 90.00, 90.00 degrees
Space group P4/mmm (No. 123)
One atom of each set of equivalent atoms:
1 Ca 0.0000 0.0000 0.2294 x2
2 Mg 0.5000 0.5000 0.5000 x1
3 Hg 0.5000 0.5000 0.0000 x1

- energy of formation from the pure elements (meV per atom) = -362
- polymorph energy (0 for the lowest one) (eV per atom) = 0.000



| no. | volume (Å³ per cell) | magnetization (Bohr magnetons per cell) |
| --- | --- | --- |
| 1 | 215 | 0.00 |
| 2 | 145 | 0.00 |
| 3 | 141 | 2.40 |
| 4 | 826 | 16.00 |
| 5 | 123 | 0.00 |
| 6 | 95 | 3.42 |
| 7 | 176 | 0.00 |
| 8 | 111 | 0.00 |